1.
This record from Alexandria via LeMat-Bulk describes a geometry-optimized Pm6PS3N2 structure. The functional is PBE.

Summary:
- Formation energy without anion corrections: -40.409 kcal/mol of atoms
- DOS(E_F): 7.02 states/eV per cell
- Uncorrected energy: -6.9979 eV/atom
- Spin magnetization: 0.00 μB per atom

a b c (Å): 17.2248 3.8730 7.9438
angles (deg): 90.00 105.06 90.00
With the nearest neighbours (Å) after each atom.
Space group C2/m (No. 12)
Symmetry-distinct sites (fractional):
Pm  0.0154  0.0000  0.2573 x4  1 N 2.58, 2 P 2.78, 2 S 2.79
Pm  0.1695  0.5000  0.1153 x4  2 N 2.61, 1 S 2.81, 1 P 2.82
Pm  0.1774  0.5000  0.5638 x4  3 N 2.53-2.63
P  0.0000  0.5000  0.0000 x2  6 Pm 2.78-2.82
S  0.0000  0.5000  0.5000 x2  6 Pm 2.79-2.97
S  0.1628  0.0000  0.8308 x4  6 Pm 2.81-2.97
N  0.1706  0.0000  0.3368 x4  6 Pm 2.53-2.63


2.
This record from Alexandria via LeMat-Bulk describes a geometry-optimized MgBe2Pt2 structure. The functional is PBE.

Summary:
- DOS(E_F): 2.50 states/eV per cell
- Uncorrected energy: -4.9959 eV/atom
- Spin magnetization: 0.00 μB per atom
- ΔE_f: -0.770 eV/atom

a b c (Å): 6.7804 6.7804 2.7684
angles (deg): 90.00 90.00 90.00
With the nearest neighbours (Å) after each atom.
Space group P4/mbm (No. 127)
Symmetry-distinct sites (fractional):
Mg  0.0000  0.0000  0.0000 x2  4 Be 2.70, 2 Mg 2.77, 8 Pt 2.87
Be  0.1210  0.3790  0.0000 x4  1 Be 2.32, 6 Pt 2.43-2.44
Pt  0.1712  0.6712  0.5000 x4  6 Be 2.43-2.44


3.
This record from Alexandria via LeMat-Bulk describes a geometry-optimized NdSm4N5 structure. The functional is PBE.

Summary:
- Formation energy without anion corrections: -33.595 kcal/mol of atoms
- DOS(E_F): 1.20 states/eV per cell
- Uncorrected energy: -7.9839 eV/atom
- Spin magnetization: 0.00 μB per atom

a b c (Å): 8.0421 8.0421 5.1070
angles (deg): 90.00 90.00 90.00
With the nearest neighbours (Å) after each atom.
Space group I4 (No. 79)
Symmetry-distinct sites (fractional):
Nd  0.0000  0.0000  0.0000 x2  6 N 2.50-2.61
Sm  0.0997  0.6994  0.5006 x8  6 N 2.48-2.62
N  0.0000  0.0000  0.4898 x2  2 Nd 2.50-2.61, 4 Sm 2.55
N  0.1008  0.6975  0.9867 x8  5 Sm 2.48-2.62, 1 Nd 2.57


4.
This record from Alexandria via LeMat-Bulk describes a geometry-optimized K2CuSb structure. The functional is PBE.

Summary:
- Formation energy without anion corrections: 4.950 kcal/mol of atoms
- DOS(E_F): 1.40 states/eV per cell
- Uncorrected energy: -2.3887 eV/atom
- Spin magnetization: 0.00 μB per atom

a b c (Å): 3.1566 6.3434 6.8649
angles (deg): 90.00 90.00 90.00
With the nearest neighbours (Å) after each atom.
Space group Pmm2 (No. 25)
Symmetry-distinct sites (fractional):
K  0.0000  0.0000  0.0000 x1  2 K 3.16, 2 Sb 3.43
K  0.5000  0.5000  0.4968 x1  2 K 3.16, 2 Cu 3.43-3.44
Cu  0.5000  0.5000  0.9961 x1  2 Cu 3.16, 2 K 3.43-3.44
Sb  0.0000  0.0000  0.5001 x1  2 Sb 3.16, 2 K 3.43


5.
This record from Alexandria via LeMat-Bulk describes a geometry-optimized Cd2GaTePd structure. The functional is PBE.

Summary:
- Formation energy without anion corrections: 9.372 kcal/mol of atoms
- DOS(E_F): 2.72 states/eV per cell
- Uncorrected energy: -2.2319 eV/atom
- Spin magnetization: 0.00 μB per atom

a b c (Å): 5.6935 5.6935 5.0299
angles (deg): 90.00 90.00 90.00
With the nearest neighbours (Å) after each atom.
Space group P4/mmm (No. 123)
Symmetry-distinct sites (fractional):
Cd  0.0000  0.5000  0.0000 x2  2 Te 2.85
Ga  0.0000  0.0000  0.5000 x1  8 Cd 3.80, 4 Pd 4.03
Te  0.5000  0.5000  0.0000 x1  2 Pd 2.51
Pd  0.5000  0.5000  0.5000 x1  2 Te 2.51


6.
This record from Alexandria via LeMat-Bulk describes a geometry-optimized Se2N2Cl structure. The functional is PBE.

Summary:
- Formation energy without anion corrections: 59.033 kcal/mol of atoms
- DOS(E_F): 5.58 states/eV per cell
- Uncorrected energy: -2.5334 eV/atom
- Spin magnetization: 0.34 μB per atom

a b c (Å): 6.0612 6.0612 3.2056
angles (deg): 90.00 90.00 90.00
With the nearest neighbours (Å) after each atom.
Space group P4/mmm (No. 123)
Symmetry-distinct sites (fractional):
Se  0.0000  0.5000  0.0000 x2  2 Cl 3.03, 2 Se 3.21
N  0.0000  0.0000  0.5000 x1  2 Cl 1.60
N  0.5000  0.5000  0.5000 x1  2 N 3.21, 8 Se 3.43
Cl  0.0000  0.0000  0.0000 x1  2 N 1.60


7.
This record from Alexandria via LeMat-Bulk describes a geometry-optimized K2HgW structure. The functional is PBE.

Summary:
- DOS(E_F): 3.36 states/eV per cell
- Uncorrected energy: -2.8981 eV/atom
- Spin magnetization: 0.24 μB per atom
- ΔE_f: 0.964 eV/atom

a b c (Å): 2.9909 4.5105 10.1909
angles (deg): 90.00 90.00 90.00
With the nearest neighbours (Å) after each atom.
Space group Pmm2 (No. 25)
Symmetry-distinct sites (fractional):
K  0.0000  0.0000  0.0000 x1  2 K 2.99
K  0.5000  0.5000  0.4063 x1  2 K 2.99
Hg  0.5000  0.5000  0.7488 x1  4 W 2.82, 2 Hg 2.99
W  0.0000  0.0000  0.6706 x1  4 Hg 2.82, 2 W 2.99


8.
This record from Alexandria via LeMat-Bulk describes a geometry-optimized Sm8Tl2Ru structure. The functional is PBE.

Summary:
- DOS(E_F): 22.24 states/eV per cell
- Uncorrected energy: -4.8989 eV/atom
- Spin magnetization: 0.00 μB per atom
- ΔE_f: -0.193 eV/atom

a b c (Å): 17.6264 5.6147 7.0912
angles (deg): 90.00 112.08 90.00
With the nearest neighbours (Å) after each atom.
Space group C2/m (No. 12)
Symmetry-distinct sites (fractional):
Sm  0.0083  0.0000  0.2689 x4  2 Ru 3.28, 1 Tl 3.33, 6 Sm 3.38-3.57
Sm  0.1034  0.5000  0.9032 x4  1 Ru 2.75
Sm  0.1396  0.5000  0.4093 x4  1 Ru 2.77
Sm  0.1965  0.0000  0.7443 x4  3 Tl 3.26-3.44, 7 Sm 3.45-3.64
Tl  0.1832  0.0000  0.1913 x4  9 Sm 3.26-3.45
Ru  0.0000  0.5000  0.5000 x2  4 Sm 2.75-2.77